Compound: CsPu2S4
Source: the Alexandria database
Functional: PBE
Structure: optimized geometry

```
data_CsPu2S4
_space_group_name_H-M_alt 'P 1'
_space_group_IT_number 1
_cell_length_a 7.0711
_cell_length_b 7.0711
_cell_length_c 14.0203
_cell_angle_alpha 90.00
_cell_angle_beta 90.00
_cell_angle_gamma 146.46
loop_
_space_group_symop_operation_xyz
'x,y,z'
loop_
_atom_site_label
_atom_site_type_symbol
_atom_site_fract_x
_atom_site_fract_y
_atom_site_fract_z
Cs1 Cs 0.1052 0.8948 0.7500
Cs2 Cs 0.8948 0.1052 0.2500
Pu1 Pu 0.3650 0.6350 0.5645
Pu2 Pu 0.3650 0.6350 0.9355
Pu3 Pu 0.6350 0.3650 0.0645
Pu4 Pu 0.6350 0.3650 0.4355
S1 S 0.0000 0.0000 0.0000
S2 S 0.0000 0.0000 0.5000
S3 S 0.2585 0.7415 0.0985
S4 S 0.2585 0.7415 0.4015
S5 S 0.4013 0.5987 0.7500
S6 S 0.5987 0.4013 0.2500
S7 S 0.7415 0.2585 0.5985
S8 S 0.7415 0.2585 0.9015
```

Output
Energy relative to the elements, uncorrected in meV/atom: -1495.3
M_tot in μB/f.u.: 9.00
Density of states at the Fermi level in states/eV per atom: 2.445